Compound: Tm3Tl
Source: Alexandria
Functional: PBE
Structure: relaxed

Structure (POSCAR):
```
Tm3Tl
1.0
-1.583 -5.117 4.144
-1.252 -0.506 -6.637
5.066 -2.205 -0.788
Tm Tl
6 2
Direct
0.168 0.337 0.250
0.663 0.832 0.250
0.168 0.832 0.250
0.832 0.663 0.750
0.337 0.168 0.750
0.832 0.168 0.750
0.333 0.667 0.750
0.667 0.333 0.250
```

Crystal system: hexagonal
VASP energy: -4.094 eV/atom
Space group: P6_3/mmc, No. 194